(1)
DFT (PBEsol) results for a relaxed structure of KSnPS2.

The structure in CIF format:
```
data_KSnPS2
_cell_length_a 5.119
_cell_length_b 5.119
_cell_length_c 5.013
_cell_angle_alpha 90.00
_cell_angle_beta 90.00
_cell_angle_gamma 90.00
_space_group_name_H-M_alt 'P 4/m m m'
_space_group_IT_number 123
_space_group_name_Hall '-P 4 2'
loop_
_atom_site_label
_atom_site_type_symbol
_atom_site_fract_x
_atom_site_fract_y
_atom_site_fract_z
_atom_site_occupancy
K1 K 0.000 0.000 0.000 1
Sn1 Sn 0.500 0.500 0.500 1
P1 P 0.500 0.500 0.000 1
S1 S 0.000 0.500 0.500 1
```

Output
The total moment is 1.180 μB/f.u. As for the energy relative to the elements, uncorrected: 0.038 eV/atom.

(2)
DFT (PBEsol) results for a relaxed structure of CsPH2O4.

The structure in CIF format:
```
data_CsPH2O4
_cell_length_a 4.872
_cell_length_b 6.256
_cell_length_c 15.628
_cell_angle_alpha 90.00
_cell_angle_beta 105.19
_cell_angle_gamma 90.00
_space_group_name_H-M_alt 'P 1 21/c 1'
_space_group_IT_number 14
_space_group_name_Hall '-P 2ybc'
loop_
_atom_site_label
_atom_site_type_symbol
_atom_site_fract_x
_atom_site_fract_y
_atom_site_fract_z
_atom_site_occupancy
Cs1 Cs 0.223 0.250 0.384 1
P1 P 0.297 0.244 0.132 1
H1 H 0.184 0.747 0.424 1
H2 H 0.482 0.007 0.744 1
O1 O 0.008 0.248 0.058 1
O2 O 0.294 0.047 0.688 1
O3 O 0.299 0.045 0.191 1
O4 O 0.469 0.747 0.415 1
```

Output
The total moment is 0.000 μB/f.u. The total DFT energy (no corrections) is -197.46 eV/cell.

(3)
DFT (PBEsol) results for a relaxed structure of LiMo3Pd.

The structure in CIF format:
```
data_LiMo3Pd
_cell_length_a 4.138
_cell_length_b 4.138
_cell_length_c 4.138
_cell_angle_alpha 90.00
_cell_angle_beta 90.00
_cell_angle_gamma 90.00
_space_group_name_H-M_alt 'P m -3 m'
_space_group_IT_number 221
_space_group_name_Hall '-P 4 2 3'
loop_
_atom_site_label
_atom_site_type_symbol
_atom_site_fract_x
_atom_site_fract_y
_atom_site_fract_z
_atom_site_occupancy
Li1 Li 0.000 0.000 0.000 1
Mo1 Mo 0.000 0.000 0.500 1
Pd1 Pd 0.500 0.500 0.500 1
```

Output
As for the formation energy: 1195 meV per atom. The total moment is 0.000 μB/f.u.

(4)
DFT (PBEsol) results for a relaxed structure of PrDyZn2.

The structure in CIF format:
```
data_PrDyZn2
_cell_length_a 7.137
_cell_length_b 7.137
_cell_length_c 7.137
_cell_angle_alpha 90.00
_cell_angle_beta 90.00
_cell_angle_gamma 90.00
_space_group_name_H-M_alt 'F m -3 m'
_space_group_IT_number 225
_space_group_name_Hall '-F 4 2 3'
loop_
_atom_site_label
_atom_site_type_symbol
_atom_site_fract_x
_atom_site_fract_y
_atom_site_fract_z
_atom_site_occupancy
Pr1 Pr 0.000 0.000 0.000 1
Dy1 Dy 0.000 0.000 0.500 1
Zn1 Zn 0.250 0.250 0.250 1
```

Output
As for the formation energy: -306 meV per atom. The total moment is 0.001 μB/f.u.